Here is a relaxed AcTb2WO8 crystal from Alexandria via LeMat-Bulk. Energies are from GGA+U.

DOS(E_F)	4.5	states/eV/cell
ρ	7.7	g cm⁻³
electronic total energy	-7.848	eV per atom

Structure (POSCAR):
```
AcTb2WO8
1.0
3.5745 -3.6010 0.0000
3.5745 3.6010 0.0000
0.0000 0.0000 7.2032
Ac Tb W O
1 2 1 8
direct
0.0000 0.0000 0.0000
0.5000 0.5000 0.2659
0.5000 0.5000 0.7341
0.0000 0.0000 0.5000
0.1851 0.8149 0.3011
0.1851 0.8149 0.6989
0.2761 0.2761 0.5000
0.3273 0.3273 0.0000
0.6727 0.6727 0.0000
0.7239 0.7239 0.5000
0.8149 0.1851 0.3011
0.8149 0.1851 0.6989
```